## Li2MgAl2Ga2 (GGA-PBE)

Data for a relaxed Li2MgAl2Ga2 crystal.

The structure in POSCAR format:
```
Li2MgAl2Ga2
1.0
3.781 -2.234 0.000
3.781 2.234 0.000
-2.763 0.000 7.164
Li Mg Al Ga
2 1 2 2
Direct
0.140 0.140 0.420
0.860 0.860 0.580
0.000 0.000 0.000
0.430 0.430 0.290
0.570 0.570 0.710
0.269 0.269 0.801
0.731 0.731 0.199
```

Formation energy (eV/atom): -0.128
Symmetry: C2/m (12)

***

## SrCaBi2Br (GGA-PBE)

Data for a relaxed SrCaBi2Br crystal.

The structure in POSCAR format:
```
SrCaBi2Br
1.0
6.187 0.000 0.000
0.000 6.187 0.000
0.000 0.000 5.702
Sr Ca Bi Br
1 1 2 1
Direct
0.000 0.000 0.000
0.500 0.500 0.500
0.000 0.500 0.000
0.500 0.000 0.000
0.000 0.000 0.500
```

Formation energy (no corrections) (eV/atom): -0.250
Symmetry: P4/mmm (123)

***

## CoPd2Pb2 (GGA-PBE)

Data for a relaxed CoPd2Pb2 crystal.

The structure in POSCAR format:
```
CoPd2Pb2
1.0
6.862 0.000 0.000
0.000 6.862 0.000
0.000 0.000 4.287
Co Pd Pb
2 4 4
Direct
0.000 0.000 0.000
0.500 0.500 0.000
0.144 0.356 0.000
0.356 0.856 0.000
0.644 0.144 0.000
0.856 0.644 0.000
0.170 0.670 0.500
0.330 0.170 0.500
0.670 0.830 0.500
0.830 0.330 0.500
```

Formation energy (eV/atom): 0.187
Symmetry: P4/mbm (127)

***

## SrCaPb2 (GGA-PBE)

Data for a relaxed SrCaPb2 crystal.

The structure in POSCAR format:
```
SrCaPb2
1.0
1.986 1.147 10.186
-1.986 1.147 10.186
0.000 -2.294 10.186
Sr Ca Pb
1 1 2
Direct
0.000 0.000 0.000
0.500 0.500 0.500
0.247 0.247 0.247
0.753 0.753 0.753
```

Formation energy (eV/atom): -0.375
Symmetry: R-3m (166)